Entry 1:
DFT (PBE) results for a relaxed structure of SmThPb.

abc: 4.6483 4.6483 8.9477
angles: 90.00 90.00 90.00
Sites, in units of the cell vectors:
Pb 0.0000 0.5000 0.2842
Th 0.0000 0.0000 0.0000
Pb 0.5000 0.0000 0.7158
Sm 0.0000 0.5000 0.6472
Th 0.5000 0.5000 0.0000
Sm 0.5000 0.0000 0.3528

Summary:
Energy   -5.620 eV per atom
N(E_F)   1.226 states/eV per atom
Energy of formation   -0.3376 eV per atom
Magnetic moment   0.390 Bohr magnetons per cell



Entry 2:
DFT (PBE) results for a relaxed structure of Sm5ThPb4.

abc: 5.5184 7.2992 11.3747
angles: 129.75 104.04 90.00
Sites, in units of the cell vectors:
Pb 0.0088 0.2725 0.0176
Sm 0.8332 0.1557 0.6664
Pb 0.6771 0.1041 0.3541
Sm 0.1668 0.8443 0.3336
Sm 0.1653 0.3245 0.3305
Pb 0.3229 0.8959 0.6459
Pb 0.9912 0.7275 0.9824
Th 0.5000 0.0000 0.0000
Sm 0.8347 0.6755 0.6695
Sm 0.5000 0.5000 0.0000

Summary:
Energy   -4.894 eV per atom
N(E_F)   0.747 states/eV per atom
Energy of formation   -0.3092 eV per atom
Magnetic moment   0.000 Bohr magnetons per cell



Entry 3:
DFT (PBE) results for a relaxed structure of SmTiPb.

abc: 4.3527 4.3527 8.2351
angles: 90.00 90.00 90.00
Sites, in units of the cell vectors:
Pb 0.0000 0.5000 0.2527
Pb 0.5000 0.0000 0.7473
Ti 0.5000 0.5000 0.5000
Sm 0.5000 0.0000 0.1593
Sm 0.0000 0.5000 0.8407
Ti 0.0000 0.0000 0.5000

Summary:
Energy   -5.726 eV per atom
N(E_F)   0.697 states/eV per atom
Energy of formation   -0.2854 eV per atom
Magnetic moment   0.988 Bohr magnetons per cell



Entry 4:
DFT (PBE) results for a relaxed structure of Sm3TlPb.

abc: 9.0957 8.4265 8.4265
angles: 87.65 90.00 90.00
Sites, in units of the cell vectors:
Sm 0.1776 0.5736 0.9263
Tl 0.8656 0.6982 0.8030
Pb 0.7500 0.1472 0.8528
Tl 0.1344 0.3018 0.1970
Sm 0.8224 0.4264 0.0737
Sm 0.6776 0.9263 0.5736
Tl 0.3657 0.8030 0.6982
Sm 0.4198 0.1993 0.9861
Sm 0.4198 0.5130 0.3003
Pb 0.2500 0.8528 0.1472
Sm 0.3224 0.0737 0.4264
Pb 0.2500 0.3533 0.6467
Pb 0.7500 0.6467 0.3533
Sm 0.5802 0.4870 0.6997
Sm 0.0802 0.6997 0.4870
Sm 0.9198 0.3003 0.5130
Tl 0.6343 0.1970 0.3018
Sm 0.5802 0.8007 0.0139
Sm 0.0802 0.0139 0.8007
Sm 0.9198 0.9861 0.1993

Summary:
Energy   -4.363 eV per atom
N(E_F)   0.988 states/eV per atom
Energy of formation   -0.3164 eV per atom
Magnetic moment   0.000 Bohr magnetons per cell



Entry 5:
DFT (PBE) results for a relaxed structure of Sm6Tl5Pb.

abc: 10.1239 5.1322 8.1275
angles: 71.60 80.80 59.58
Sites, in units of the cell vectors:
Sm 0.7485 0.4182 0.6666
Tl 0.0000 0.6703 0.6594
Sm 0.2501 0.2500 0.0000
Tl 0.0000 0.3297 0.3406
Tl 0.5000 0.8337 0.3326
Tl 0.5000 0.5000 0.0000
Sm 0.2515 0.9152 0.6666
Sm 0.7485 0.0848 0.3334
Pb 0.0000 0.0000 0.0000
Tl 0.5000 0.1663 0.6674
Sm 0.7499 0.7500 0.0000
Sm 0.2515 0.5818 0.3334

Summary:
Energy   -4.053 eV per atom
N(E_F)   0.698 states/eV per atom
Energy of formation   -0.3984 eV per atom
Magnetic moment   0.000 Bohr magnetons per cell



Entry 6:
DFT (PBE) results for a relaxed structure of Sm3TlPb2.

abc: 6.5112 6.4957 9.1996
angles: 100.71 110.72 90.00
Sites, in units of the cell vectors:
Tl 0.1239 0.2500 0.0000
Pb 0.2274 0.9308 0.6754
Tl 0.8761 0.7500 0.0000
Sm 0.2848 0.0999 0.3390
Sm 0.9458 0.4001 0.6610
Sm 0.7152 0.9001 0.6610
Sm 0.0542 0.5999 0.3390
Sm 0.3704 0.7500 0.0000
Sm 0.6296 0.2500 0.0000
Pb 0.5520 0.5692 0.3246
Pb 0.4480 0.4308 0.6754
Pb 0.7726 0.0692 0.3246

Summary:
Energy   -4.420 eV per atom
N(E_F)   0.767 states/eV per atom
Energy of formation   -0.4302 eV per atom
Magnetic moment   0.000 Bohr magnetons per cell



Entry 7:
DFT (PBE) results for a relaxed structure of Sm7Tl4Pb.

abc: 5.8536 8.8692 9.0045
angles: 60.59 71.03 70.73
Sites, in units of the cell vectors:
Sm 0.7208 0.3870 0.1713
Sm 0.8348 0.9247 0.4057
Tl 0.5615 0.2887 0.5882
Sm 0.5000 0.0000 0.0000
Tl 0.4385 0.7113 0.4118
Sm 0.1652 0.0753 0.5943
Tl 0.7154 0.7532 0.8160
Sm 0.9317 0.4038 0.7329
Sm 0.2792 0.6130 0.8287
Sm 0.0683 0.5962 0.2671
Tl 0.2846 0.2468 0.1840
Pb 0.0000 0.0000 0.0000

Summary:
Energy   -4.066 eV per atom
N(E_F)   0.843 states/eV per atom
Energy of formation   -0.2159 eV per atom
Magnetic moment   0.000 Bohr magnetons per cell



Entry 8:
DFT (PBE) results for a relaxed structure of Sm2TlPb3.

abc: 4.6402 4.7890 8.1990
angles: 90.00 106.44 90.00
Sites, in units of the cell vectors:
Sm 0.8505 0.5000 0.7011
Sm 0.1495 0.5000 0.2989
Pb 0.6756 0.0000 0.3512
Pb 0.5000 0.5000 0.0000
Pb 0.3244 0.0000 0.6488
Tl 0.0000 0.0000 0.0000

Summary:
Energy   -4.244 eV per atom
N(E_F)   0.438 states/eV per atom
Energy of formation   -0.4221 eV per atom
Magnetic moment   0.000 Bohr magnetons per cell



Entry 9:
DFT (PBE) results for a relaxed structure of Sm6Tl5Pb.

abc: 5.4784 9.4892 9.4892
angles: 120.17 106.83 106.83
Sites, in units of the cell vectors:
Sm 0.7491 0.2492 0.2492
Sm 0.2494 0.0830 0.4159
Sm 0.2509 0.7508 0.7508
Tl 0.0000 0.6660 0.3340
Sm 0.7506 0.5841 0.9170
Tl 0.5000 0.8298 0.1702
Tl 0.5000 0.5000 0.5000
Pb 0.0000 0.0000 0.0000
Sm 0.2494 0.4159 0.0830
Sm 0.7506 0.9170 0.5841
Tl 0.0000 0.3340 0.6660
Tl 0.5000 0.1702 0.8298

Summary:
Energy   -4.051 eV per atom
N(E_F)   0.483 states/eV per atom
Energy of formation   -0.3960 eV per atom
Magnetic moment   0.000 Bohr magnetons per cell



Entry 10:
DFT (PBE) results for a relaxed structure of SmTlPb6.

abc: 4.9037 4.9037 10.1644
angles: 90.00 90.00 90.00
Sites, in units of the cell vectors:
Sm 0.0000 0.0000 0.0000
Pb 0.5000 0.0000 0.7526
Pb 0.5000 0.5000 0.5000
Pb 0.5000 0.5000 0.0000
Pb 0.0000 0.5000 0.2474
Tl 0.0000 0.0000 0.5000
Pb 0.0000 0.5000 0.7526
Pb 0.5000 0.0000 0.2474

Summary:
Energy   -3.807 eV per atom
N(E_F)   0.811 states/eV per atom
Energy of formation   -0.1404 eV per atom
Magnetic moment   0.000 Bohr magnetons per cell